This record from the Alexandria database describes a relaxed structure of CoCuBrN2. The functional is PBE-GGA.

Output
VASP energy (eV/cell): -25.024
DOS at the Fermi energy (states/eV per atom): 0.791
Total magnetization (Bohr magnetons per cell): 0.003

Cell lengths 3.503, 7.672, 3.503 Å; angles 90.00, 90.00, 90.00 degrees
Element x y z (fractional)
Co1 0.000 0.000 0.000
Cu1 0.500 0.500 0.500
Br1 0.000 0.500 0.000
N1 0.000 0.000 0.500
N2 0.500 0.000 0.000

=====

This record from the Alexandria database describes a relaxed structure of Nd4CoCuBr2. The functional is PBE-GGA.

Output
VASP energy (eV/cell): -39.121
DOS at the Fermi energy (states/eV per atom): 0.835
Total magnetization (Bohr magnetons per cell): 0.000

Cell lengths 4.102, 7.096, 8.091 Å; angles 106.87, 90.00, 90.00 degrees
Element x y z (fractional)
Nd1 0.500 0.254 0.198
Nd2 0.500 0.746 0.802
Nd3 0.000 0.275 0.805
Nd4 0.000 0.725 0.195
Co1 0.500 0.500 0.000
Cu1 0.000 0.000 0.000
Br1 0.500 0.000 0.500
Br2 0.000 0.500 0.500

=====

This record from the Alexandria database describes a relaxed structure of Nd6Co2CuBr3. The functional is PBE-GGA.

Output
VASP energy (eV/cell): -60.512
DOS at the Fermi energy (states/eV per atom): 0.677
Total magnetization (Bohr magnetons per cell): 0.000

Cell lengths 7.056, 7.056, 8.113 Å; angles 98.32, 98.32, 120.03 degrees
Element x y z (fractional)
Nd1 0.935 0.583 0.805
Nd2 0.713 0.713 0.194
Nd3 0.065 0.417 0.195
Nd4 0.583 0.935 0.805
Nd5 0.287 0.287 0.806
Nd6 0.417 0.065 0.195
Co1 0.333 0.667 0.000
Co2 0.667 0.333 0.000
Cu1 0.000 0.000 0.000
Br1 0.166 0.834 0.500
Br2 0.834 0.166 0.500
Br3 0.500 0.500 0.500

=====

This record from the Alexandria database describes a relaxed structure of Nd6CoCu2Br3. The functional is PBE-GGA.

Output
VASP energy (eV/cell): -57.089
DOS at the Fermi energy (states/eV per atom): 0.874
Total magnetization (Bohr magnetons per cell): 0.000

Cell lengths 7.147, 7.147, 8.024 Å; angles 98.60, 98.60, 119.83 degrees
Element x y z (fractional)
Nd1 0.933 0.619 0.799
Nd2 0.754 0.754 0.203
Nd3 0.067 0.381 0.201
Nd4 0.619 0.933 0.799
Nd5 0.246 0.246 0.797
Nd6 0.381 0.067 0.201
Co1 0.000 0.000 0.000
Cu1 0.334 0.666 0.000
Cu2 0.666 0.334 0.000
Br1 0.168 0.832 0.500
Br2 0.832 0.168 0.500
Br3 0.500 0.500 0.500